Record 1
14
Lattice="4.5384 0.0000 0.0000 0.0000 8.9306 0.0000 0.0000 0.0000 8.9306" Properties=species:S:1:pos:R:3 comment="AcIn4Ag2 (PBE-GGA, optimized geometry)" final_energy_ev_per_atom=-3.18 formation_enthalpy_0k_mev_per_atom=-213 relative_energy_ev_per_atom=0.054 rho_g_cm3=8.28 total_magnetization_mub_per_cell=0.00 pbc="T T T"
In 0.0000 0.7582 2.9685
In 2.2692 3.7071 7.4338
Ag 2.2692 6.2816 6.2816
In 2.2692 1.4968 5.2235
Ac 2.2692 0.0000 0.0000
Ag 0.0000 7.1143 1.8163
In 0.0000 8.1724 5.9621
Ac 0.0000 4.4653 4.4653
In 0.0000 2.9685 0.7582
Ag 2.2692 2.6490 2.6490
In 0.0000 5.9621 8.1724
Ag 0.0000 1.8163 7.1143
In 2.2692 7.4338 3.7071
In 2.2692 5.2235 1.4968

Record 2
11
Lattice="-2.1242 -0.3920 3.6230 4.1435 0.1075 2.4401 0.0125 14.9634 4.0771" Properties=species:S:1:pos:R:3 comment="Ac3In4Ag4 (PBE-GGA, optimized geometry)" final_energy_ev_per_atom=-3.50 formation_enthalpy_0k_mev_per_atom=-348 relative_energy_ev_per_atom=0.000 rho_g_cm3=8.48 total_magnetization_mub_per_cell=0.00 pbc="T T T"
In -0.8564 11.8892 5.6880
Ag 2.7070 5.5998 4.6480
Ag 0.9166 1.2740 3.1258
Ac -0.3449 4.0893 5.1515
Ag -0.6752 9.0791 5.4924
Ag 1.1152 13.4050 7.0146
In 1.5100 7.3868 6.5936
Ac 2.3768 10.5893 4.9889
In 0.5218 7.2921 3.5468
Ac 0.0000 0.0001 0.0001
In 2.8882 2.7897 4.4523

Record 3
12
Lattice="-3.3020 -2.9952 1.7574 3.4642 -2.5377 2.1839 -3.0714 9.8911 11.0868" Properties=species:S:1:pos:R:3 comment="Ac3In7Ag2 (PBE-GGA, optimized geometry)" final_energy_ev_per_atom=-3.46 formation_enthalpy_0k_mev_per_atom=-365 rho_g_cm3=8.16 total_magnetization_mub_per_cell=0.00 pbc="T T T"
In -2.3885 3.2500 7.5846
Ac 0.8808 4.2116 8.8330
Ac -0.4880 3.1418 4.4377
Ag -0.2806 -0.4567 5.2277
In 0.0000 0.0000 0.0000
Ag -2.6286 4.8149 9.8004
In -1.1148 7.1844 10.1502
In -0.5208 1.1082 7.4435
In 1.5075 0.1690 3.1205
Ac 0.0811 -2.7664 1.9706
In -1.0330 4.4163 12.1191
In -1.8762 -0.0581 2.9089

Record 4
13
Lattice="-0.2872 -2.1388 5.2471 2.4878 -7.2269 0.2577 6.1172 1.1300 3.8627" Properties=species:S:1:pos:R:3 comment="AcIn2Ag10 (PBE-GGA, optimized geometry)" final_energy_ev_per_atom=-3.00 formation_enthalpy_0k_mev_per_atom=-65 rho_g_cm3=9.37 total_magnetization_mub_per_cell=0.00 pbc="T T T"
Ag 3.0586 0.5650 1.9314
Ag 5.1664 -1.7308 5.7119
Ag 2.8878 -3.4631 4.8810
Ac 0.0000 0.0000 0.0000
In 1.2439 -3.6134 0.1288
Ag 4.7552 -1.7881 2.5987
In 1.1003 -4.6828 2.7524
Ag 2.9150 -0.5044 4.5549
Ag 1.7841 -1.9000 2.3905
Ag 6.5337 -6.3356 6.9770
Ag 3.5626 -6.4475 6.7688
Ag 3.1514 -6.5049 3.6556
Ag 5.4300 -4.7725 4.4864

Record 5
12
Lattice="-0.7034 -5.4579 1.4078 4.4635 -3.5125 0.0723 2.7527 -0.9028 9.3353" Properties=species:S:1:pos:R:3 comment="AcIn2Ag9 (PBE-GGA, optimized geometry)" final_energy_ev_per_atom=-3.03 formation_enthalpy_0k_mev_per_atom=-90 rho_g_cm3=9.21 total_magnetization_mub_per_cell=0.00 pbc="T T T"
Ag 1.9939 -4.1636 7.7739
Ag 2.2559 -3.9288 3.0048
In 2.1084 -1.7998 5.5356
In 4.4044 -8.0734 5.2798
Ag 4.0037 -3.8961 9.8150
Ag 1.8993 -6.6959 3.7186
Ag 4.5189 -5.7096 3.0415
Ag 4.2569 -5.9443 7.8106
Ag 4.6135 -3.1772 7.0968
Ag 3.2564 -4.9366 5.4077
Ac 0.0000 0.0000 0.0000
Ag 2.5091 -5.9770 1.0004

Record 6
14
Lattice="-1.0845 -5.2690 0.4801 5.9706 -1.8003 -6.2712 2.4517 0.2693 8.4932" Properties=species:S:1:pos:R:3 comment="AcIn3Ag3 (PBE-GGA, optimized geometry)" final_energy_ev_per_atom=-3.09 formation_enthalpy_0k_mev_per_atom=-103 relative_energy_ev_per_atom=0.044 rho_g_cm3=8.13 total_magnetization_mub_per_cell=0.00 pbc="T T T"
In 2.0764 -3.9354 7.0671
In 0.4962 -4.1021 1.6672
In 6.8417 -2.6979 1.0348
Ag 1.0551 -3.9652 4.4325
Ag 4.1028 -2.1760 0.5753
Ac 3.3536 -1.7378 3.6917
In 5.2614 -2.8647 -4.3650
Ag 3.2350 -4.6240 2.1268
In 5.8614 -5.0795 3.0610
Ag 3.1940 -2.2723 -2.5340
In 1.4765 -1.7206 -0.3590
Ac 3.9843 -5.0622 -0.9897
Ag 6.2828 -2.8348 -1.7304
Ag 4.1438 -4.5278 5.2361